No. 1
Computed, not measured: crystalline Pa8Sb at its relaxed geometry at the PBE level of DFT.

a b c (Å): 4.641 7.334 7.334
angles (deg): 84.25 71.55 71.55
Element x y z (fractional)
Pa 0.661 0.000 0.677
Pa 0.328 0.672 0.672
Pa 0.661 0.677 0.000
Pa 0.000 0.672 0.328
Pa 0.672 0.328 0.328
Pa 0.000 0.328 0.672
Pa 0.339 0.000 0.323
Pa 0.339 0.323 0.000
Sb 0.000 0.000 0.000

Calculated values
**Raw total energy**: -0.662 Ry per atom
**M_tot**: 0.00 μB per formula unit
**Mass density**: 14.56 Mg/m³
**Energy relative to the elements, uncorrected**: -111 meV per atom


No. 2
Computed, not measured: crystalline KSc2Pt at its relaxed geometry at the PBE level of DFT.

a b c (Å): 4.061 4.061 9.525
angles (deg): 77.55 77.55 60.04
Element x y z (fractional)
Pt 0.333 0.333 0.000
K 0.500 0.500 0.501
Sc 0.955 0.955 0.133
Sc 0.712 0.712 0.867

Calculated values
**Raw total energy**: -0.391 Ry per atom
**M_tot**: 0.00 μB per formula unit
**Mass density**: 4.08 Mg/m³


No. 3
Computed, not measured: crystalline Bi3MoOs at its relaxed geometry at the PBE level of DFT.

a b c (Å): 5.307 5.307 5.307
angles (deg): 90.00 90.00 90.00
Site moments in Bohr magnetons follow the coordinates.
Element x y z (fractional)
Bi 0.500 0.000 0.000  -0.03
Bi 0.000 0.000 0.500  -0.12
Bi 0.000 0.500 0.000  -0.13
Os 0.000 0.000 0.000  0.06
Mo 0.500 0.500 0.500  3.49

Calculated values
**Raw total energy**: -0.392 Ry per atom
**M_tot**: 4.04 μB per formula unit
**Mass density**: 10.14 Mg/m³


No. 4
Computed, not measured: crystalline LiSiRu2 at its relaxed geometry at the PBE level of DFT.

a b c (Å): 4.929 4.929 4.507
angles (deg): 62.96 62.96 34.04
Element x y z (fractional)
Ru 0.026 0.026 0.974
Ru 0.474 0.474 0.526
Li 0.250 0.250 0.250
Si 0.750 0.750 0.750

Calculated values
**Raw total energy**: -0.490 Ry per atom
**M_tot**: 0.00 μB per formula unit
**Mass density**: 7.30 Mg/m³
**Energy relative to the elements, uncorrected**: -198 meV per atom


No. 5
Computed, not measured: crystalline Sn4HgPb6 at its relaxed geometry at the PBE level of DFT.

a b c (Å): 8.298 8.298 8.180
angles (deg): 120.48 120.48 90.00
Element x y z (fractional)
Pb 0.664 0.664 0.606
Pb 0.336 0.057 0.394
Pb 0.057 0.336 0.394
Pb 0.500 0.000 0.000
Pb 0.943 0.943 0.606
Pb 0.000 0.500 0.000
Sn 0.278 0.278 0.155
Sn 0.877 0.877 0.155
Sn 0.722 0.123 0.845
Sn 0.123 0.722 0.845
Hg 0.500 0.500 0.000

Calculated values
**Raw total energy**: -0.246 Ry per atom
**M_tot**: 0.00 μB per formula unit
**Mass density**: 8.12 Mg/m³


No. 6
Computed, not measured: crystalline KInSiOs2 at its relaxed geometry at the PBE level of DFT.

a b c (Å): 4.983 5.435 4.983
angles (deg): 90.00 90.00 90.00
Site moments in Bohr magnetons follow the coordinates.
Element x y z (fractional)
Si 0.500 0.500 0.500  -0.13
K 0.000 0.500 0.000  -0.02
Os 0.000 0.000 0.500  1.37
Os 0.500 0.000 0.000  0.99
In 0.000 0.000 0.000  -0.02

Calculated values
**Raw total energy**: -0.294 Ry per atom
**M_tot**: 2.13 μB per formula unit
**Mass density**: 6.92 Mg/m³
**Energy relative to the elements, uncorrected**: 2337 meV per atom


The highest mass density belongs to which entry?
Pa8Sb